The following is a PBE calculation of a geometry-optimized MgTaCoB structure, from OQMD.

## Properties
Its space group is No. 216. For the volume, the calculation gives 12.57 Å³ per atom. As for the energy above the most stable polymorph in this dataset: 0.052 eV per atom.

a b c (Å): 4.1434 4.1434 4.1434
angles (deg): 60.00 60.00 60.00
Closest atoms and distances in Å follow each position.
Element x y z (fractional)
Mg 0.0000 0.0000 0.0000  4 Ta 2.54, 4 Co 2.54
Ta 0.2500 0.2500 0.2500  4 Mg 2.54, 4 B 2.54
Co 0.7500 0.7500 0.7500  4 Mg 2.54, 4 B 2.54
B 0.5000 0.5000 0.5000  4 Ta 2.54, 4 Co 2.54